First-principles (PBE) data for an optimized crystal structure of Ag3RhSe, as listed in the Alexandria database.

a b c (Å): 5.0171 5.0171 5.0171
angles (deg): 90.00 90.00 90.00
Last column: nearest neighbours and their distance in Å.
Fractional positions:
1 Ag 0.0000 0.5000 0.0000  2 Rh 2.51
2 Ag 0.0000 0.0000 0.5000  2 Rh 2.51
3 Ag 0.5000 0.0000 0.0000  2 Rh 2.51
4 Se 0.5000 0.5000 0.5000  12 Ag 3.55
5 Rh 0.0000 0.0000 0.0000  6 Ag 2.51

Summary:
The density of states at the Fermi level is 5.39 states/eV/f.u. For the mass density, the calculation gives 6.6 g cm⁻³. The value obtained for the total magnetization is 1.2 μB per cell. Its uncorrected formation energy is 1057 meV/atom. Its energy relative to the lowest polymorph listed for this composition is 0.208 eV per atom.

First-principles (PBE) data for an optimized crystal structure of ErPuH2, as listed in the Alexandria database.

a b c (Å): 3.4147 3.4147 6.0292
angles (deg): 73.55 73.55 60.00
Last column: nearest neighbours and their distance in Å.
Fractional positions:
1 H 0.7586 0.7586 0.7243  3 Er 2.35, 3 Pu 2.52
2 H 0.2414 0.2414 0.2757  3 Er 2.35, 3 Pu 2.52
3 Er 0.5000 0.5000 0.5000  6 H 2.35
4 Pu 0.0000 0.0000 0.0000  6 H 2.52

Summary:
The density of states at the Fermi level is 7.18 states/eV/f.u. For the mass density, the calculation gives 11.9 g cm⁻³. The value obtained for the total magnetization is 5.8 μB per cell. The calculation puts the total DFT energy (no corrections) at -26.8 eV/f.u.

First-principles (PBE) data for an optimized crystal structure of InTe2As, as listed in the Alexandria database.

a b c (Å): 6.6364 6.6364 4.6042
angles (deg): 92.88 92.88 38.01
Last column: nearest neighbours and their distance in Å.
Fractional positions:
1 Te 0.7255 0.7255 0.6609  1 As 2.59
2 Te 0.9970 0.9970 0.1432  2 As 2.84
3 As 0.5213 0.5213 0.5406  3 Te 2.59-2.84
4 In 0.2561 0.2561 0.1553  5 Te 3.15-3.25

Summary:
The density of states at the Fermi level is 0.21 states/eV/f.u. For the mass density, the calculation gives 5.9 g cm⁻³. The value obtained for the total magnetization is 0.0 μB per cell. Its uncorrected formation energy is -54 meV/atom. Its energy relative to the lowest polymorph listed for this composition is 0.042 eV per atom.

First-principles (PBE) data for an optimized crystal structure of TaFe3Bi, as listed in the Alexandria database.

a b c (Å): 4.6318 4.6318 4.6318
angles (deg): 90.00 90.00 90.00
Last column: nearest neighbours and their distance in Å.
Fractional positions:
1 Fe 0.0000 0.5000 0.0000  2 Ta 2.32
2 Fe 0.5000 0.0000 0.0000  2 Ta 2.32
3 Fe 0.0000 0.0000 0.5000  2 Ta 2.32
4 Bi 0.5000 0.5000 0.5000  12 Fe 3.28
5 Ta 0.0000 0.0000 0.0000  6 Fe 2.32

Summary:
The density of states at the Fermi level is 5.30 states/eV/f.u. For the mass density, the calculation gives 9.3 g cm⁻³. The value obtained for the total magnetization is 5.0 μB per cell. Its formation energy from the elements is 1.2721 eV per atom. Its energy relative to the lowest polymorph listed for this composition is 0.000 eV per atom.

First-principles (PBE) data for an optimized crystal structure of AlCuNiGe, as listed in the Alexandria database.

a b c (Å): 4.2254 4.2254 4.2254
angles (deg): 60.00 60.00 60.00
Last column: nearest neighbours and their distance in Å.
Fractional positions:
1 Al 0.5000 0.5000 0.5000  4 Ni 2.59, 4 Cu 2.59
2 Ni 0.2500 0.2500 0.2500  4 Ge 2.59, 4 Al 2.59
3 Ge 0.0000 0.0000 0.0000  4 Ni 2.59, 4 Cu 2.59
4 Cu 0.7500 0.7500 0.7500  4 Ge 2.59, 4 Al 2.59

Summary:
The density of states at the Fermi level is 2.51 states/eV/f.u. For the mass density, the calculation gives 6.9 g cm⁻³. The value obtained for the total magnetization is 0.0 μB per cell. Its formation energy from the elements is -0.1020 eV per atom.

First-principles (PBE) data for an optimized crystal structure of Na3B5SO8, as listed in the Alexandria database.

a b c (Å): 6.3576 11.0991 11.6039
angles (deg): 93.35 90.00 90.00
Last column: nearest neighbours and their distance in Å.
Fractional positions:
1 O 0.9556 0.5088 0.6239  2 B 1.37-1.51
2 O 0.8260 0.2109 0.1858  2 B 1.38-1.48
3 O 0.1782 0.0638 0.6222  2 B 1.40-1.41
4 O 0.9517 0.6138 0.8104  2 B 1.38-1.49
5 O 0.4556 0.9912 0.3761  2 B 1.37-1.51
6 O 0.2152 0.3578 0.6340  2 B 1.37-1.51
7 O 0.5444 0.0088 0.6239  2 B 1.37-1.51
8 O 0.4481 0.5680 0.2804  2 B 1.37-1.50
9 O 0.5224 0.2303 0.6372  2 B 1.45
10 O 0.6782 0.4362 0.3778  2 B 1.40-1.41
11 O 0.4776 0.7697 0.3628  2 B 1.45
12 O 0.3218 0.5638 0.6222  2 B 1.40-1.41
13 O 0.1562 0.8650 0.3224  2 B 1.37-1.49
14 O 0.5483 0.1138 0.8104  2 B 1.38-1.49
15 O 0.1740 0.7891 0.8142  2 B 1.38-1.48
16 O 0.0444 0.4912 0.3761  2 B 1.37-1.51
17 O 0.0519 0.0680 0.2804  2 B 1.37-1.50
18 O 0.7848 0.6422 0.3660  2 B 1.37-1.51
19 O 0.3438 0.3650 0.3224  2 B 1.37-1.49
20 O 0.9776 0.7303 0.6372  2 B 1.45
21 O 0.3260 0.2891 0.8142  2 B 1.38-1.48
22 O 0.8438 0.1350 0.6776  2 B 1.37-1.49
23 O 0.4517 0.8862 0.1896  2 B 1.38-1.49
24 O 0.5519 0.4320 0.7196  2 B 1.37-1.50
25 O 0.8218 0.9362 0.3778  2 B 1.40-1.41
26 O 0.7152 0.1422 0.3660  2 B 1.37-1.51
27 O 0.2848 0.8578 0.6340  2 B 1.37-1.51
28 O 0.6562 0.6350 0.6776  2 B 1.37-1.49
29 O 0.9481 0.9320 0.7196  2 B 1.37-1.50
30 O 0.6740 0.7109 0.1858  2 B 1.38-1.48
31 O 0.0483 0.3862 0.1896  2 B 1.38-1.49
32 O 0.0224 0.2697 0.3628  2 B 1.45
33 Na 0.0797 0.6479 0.2124  5 O 2.59-2.70, 1 S 2.80, 1 B 2.86
34 Na 0.2178 0.8904 0.0172  2 O 2.49-2.57, 1 S 2.77
35 Na 0.5797 0.8521 0.7876  5 O 2.59-2.70, 1 S 2.80, 1 B 2.86
36 Na 0.2980 0.1965 0.4776  4 O 2.35-2.53
37 Na 0.4203 0.1479 0.2124  5 O 2.59-2.70, 1 S 2.80, 1 B 2.86
38 Na 0.2020 0.6965 0.4776  4 O 2.35-2.53
39 Na 0.7822 0.1096 0.9828  2 O 2.49-2.57, 1 S 2.77
40 Na 0.7980 0.3035 0.5224  4 O 2.35-2.53
41 Na 0.2822 0.3904 0.0172  2 O 2.49-2.57, 1 S 2.77
42 Na 0.9203 0.3521 0.7876  5 O 2.59-2.70, 1 S 2.80, 1 B 2.86
43 Na 0.7020 0.8035 0.5224  4 O 2.35-2.53
44 Na 0.7178 0.6096 0.9828  2 O 2.49-2.57, 1 S 2.77
45 S 0.7518 0.3646 0.0106  1 B 1.83
46 S 0.7482 0.8646 0.0106  1 B 1.83
47 S 0.2482 0.6354 0.9894  1 B 1.83
48 S 0.2518 0.1354 0.9894  1 B 1.83
49 B 0.3883 0.8751 0.3121  4 O 1.45-1.51
50 B 0.1127 0.6825 0.8606  2 O 1.38
51 B 0.1117 0.3751 0.3121  4 O 1.45-1.51
52 B 0.6127 0.8175 0.1394  2 O 1.38
53 B 0.6636 0.0233 0.3756  3 O 1.37-1.40
54 B 0.3873 0.1825 0.8606  2 O 1.38
55 B 0.8883 0.6249 0.6879  4 O 1.45-1.51
56 B 0.6117 0.1249 0.6879  4 O 1.45-1.51
57 B 0.5918 0.6750 0.2985  4 O 1.45-1.51
58 B 0.3364 0.9767 0.6244  3 O 1.37-1.40
59 B 0.4082 0.3250 0.7015  4 O 1.45-1.51
60 B 0.0918 0.8250 0.7015  4 O 1.45-1.51
61 B 0.8873 0.3175 0.1394  2 O 1.38
62 B 0.1636 0.4767 0.6244  3 O 1.37-1.40
63 B 0.5159 0.5412 0.6749  3 O 1.37-1.41
64 B 0.4841 0.4588 0.3251  3 O 1.37-1.41
65 B 0.9841 0.0412 0.6749  3 O 1.37-1.41
66 B 0.8364 0.5233 0.3756  3 O 1.37-1.40
67 B 0.0159 0.9588 0.3251  3 O 1.37-1.41
68 B 0.9082 0.1750 0.2985  4 O 1.45-1.51

Summary:
The density of states at the Fermi level is 0.00 states/eV/f.u. For the mass density, the calculation gives 2.3 g cm⁻³. The value obtained for the total magnetization is 0.0 μB per cell. Its uncorrected formation energy is -2183 meV/atom.

First-principles (PBE) data for an optimized crystal structure of TiAlV4, as listed in the Alexandria database.

a b c (Å): 4.4156 4.3477 5.0560
angles (deg): 90.00 115.89 90.00
Last column: nearest neighbours and their distance in Å.
Fractional positions:
1 V 0.6885 0.0000 0.3770  4 V 2.47, 2 Al 2.77
2 V 0.8180 0.5000 0.6360  4 V 2.47-2.53, 2 Ti 2.73, 2 Al 2.76
3 V 0.1820 0.5000 0.3640  4 V 2.47-2.53, 2 Ti 2.73, 2 Al 2.76
4 V 0.3115 0.0000 0.6230  4 V 2.47, 2 Al 2.77
5 Ti 0.0000 0.0000 0.0000  10 V 2.73-2.83
6 Al 0.5000 0.5000 0.0000  10 V 2.76-2.89

Summary:
The density of states at the Fermi level is 5.64 states/eV/f.u. For the mass density, the calculation gives 5.3 g cm⁻³. The value obtained for the total magnetization is 0.0 μB per cell. Its formation energy from the elements is -0.0918 eV per atom. Its energy relative to the lowest polymorph listed for this composition is 0.000 eV per atom.

First-principles (PBE) data for an optimized crystal structure of Pm2GeIr, as listed in the Alexandria database.

a b c (Å): 4.2213 5.9212 8.3549
angles (deg): 111.80 90.00 90.00
Last column: nearest neighbours and their distance in Å.
Fractional positions:
1 Pm 0.2500 0.7749 0.0889  3 Ir 2.95-3.20, 4 Ge 3.08-3.13
2 Pm 0.7500 0.2168 0.4428  4 Ir 2.98-3.25, 3 Ge 3.13-3.15
3 Pm 0.7500 0.2251 0.9111  3 Ir 2.95-3.20, 4 Ge 3.08-3.13
4 Pm 0.2500 0.7832 0.5572  4 Ir 2.98-3.25, 3 Ge 3.13-3.15
5 Ge 0.2500 0.3391 0.2066  2 Ir 2.70
6 Ge 0.7500 0.6609 0.7934  2 Ir 2.70
7 Ir 0.7500 0.6450 0.2869  2 Ge 2.70, 4 Pm 2.95-2.98
8 Ir 0.2500 0.3550 0.7131  2 Ge 2.70, 4 Pm 2.95-2.98

Summary:
The density of states at the Fermi level is 3.21 states/eV/f.u. For the mass density, the calculation gives 9.5 g cm⁻³. The value obtained for the total magnetization is 0.0 μB per cell. Its formation energy from the elements is -0.7790 eV per atom.

First-principles (PBE) data for an optimized crystal structure of TcN2OF, as listed in the Alexandria database.

a b c (Å): 3.5710 3.5710 3.5614
angles (deg): 90.00 90.00 90.00
Last column: nearest neighbours and their distance in Å.
Fractional positions:
1 N 0.0000 0.5000 0.0000  2 O 1.79
2 N 0.5000 0.0000 0.0000  2 O 1.79
3 F 0.0000 0.0000 0.5000  2 O 1.78
4 Tc 0.5000 0.5000 0.5000  8 N 2.52, 4 F 2.53
5 O 0.0000 0.0000 0.0000  2 F 1.78, 4 N 1.79

Summary:
The density of states at the Fermi level is 4.65 states/eV/f.u. For the mass density, the calculation gives 5.9 g cm⁻³. The value obtained for the total magnetization is 0.0 μB per cell. Its uncorrected formation energy is 1885 meV/atom.

First-principles (PBE) data for an optimized crystal structure of FeTcGe6, as listed in the Alexandria database.

a b c (Å): 4.6899 5.4125 6.9659
angles (deg): 65.63 70.55 64.47
Last column: nearest neighbours and their distance in Å.
Fractional positions:
1 Fe 0.0000 0.0000 0.0000  4 Ge 2.26-2.45
2 Ge 0.7325 0.2552 0.2330  1 Fe 2.26, 1 Tc 2.42
3 Ge 0.3938 0.9810 0.1985  1 Tc 2.55, 3 Ge 2.56-2.78, 2 Fe 2.60-2.74
4 Ge 0.2675 0.7448 0.7670  1 Fe 2.26, 1 Tc 2.42
5 Ge 0.9257 0.4609 0.7085  1 Fe 2.45, 1 Ge 2.64, 2 Tc 2.65-2.73
6 Ge 0.0743 0.5391 0.2915  1 Fe 2.45, 1 Ge 2.64, 2 Tc 2.65-2.73
7 Ge 0.6062 0.0190 0.8015  1 Tc 2.55, 3 Ge 2.56-2.78, 2 Fe 2.60-2.74
8 Tc 0.5000 0.5000 0.5000  6 Ge 2.42-2.65

Summary:
The density of states at the Fermi level is 3.93 states/eV/f.u. For the mass density, the calculation gives 6.9 g cm⁻³. The value obtained for the total magnetization is 0.0 μB per cell. Its formation energy from the elements is 0.1287 eV per atom.

First-principles (PBE) data for an optimized crystal structure of TaSnRu2, as listed in the Alexandria database.

a b c (Å): 7.1285 7.1285 5.8264
angles (deg): 52.28 52.28 90.00
Last column: nearest neighbours and their distance in Å.
Fractional positions:
1 Ru 0.0924 0.6250 0.2500  2 Ta 2.47
2 Ru 0.8750 0.9076 0.7500  2 Ta 2.47
3 Ru 0.3750 0.3424 0.7500  2 Ta 2.47
4 Ru 0.6576 0.1250 0.2500  2 Ta 2.47
5 Ta 0.7500 0.2500 0.5000  4 Ru 2.47
6 Ta 0.0000 0.0000 0.0000  4 Ru 2.47
7 Sn 0.5000 0.5000 0.0000  4 Ru 2.79, 2 Ta 2.92
8 Sn 0.2500 0.7500 0.5000  4 Ru 2.79, 2 Ta 2.92

Summary:
The density of states at the Fermi level is 3.51 states/eV/f.u. For the mass density, the calculation gives 11.2 g cm⁻³. The value obtained for the total magnetization is 0.0 μB per cell. Its formation energy from the elements is 0.4052 eV per atom.

First-principles (PBE) data for an optimized crystal structure of Ba3Li2Tl5, as listed in the Alexandria database.

a b c (Å): 4.4326 12.0538 12.0538
angles (deg): 90.00 90.00 90.00
Last column: nearest neighbours and their distance in Å.
Fractional positions:
1 Ba 0.0000 0.0000 0.0000  8 Tl 3.64
2 Ba 0.0000 0.1819 0.3181  3 Li 3.57-3.61, 10 Tl 3.81-3.85
3 Ba 0.0000 0.8181 0.6819  3 Li 3.57-3.61, 10 Tl 3.81-3.85
4 Ba 0.0000 0.3181 0.8181  3 Li 3.57-3.61, 10 Tl 3.81-3.85
5 Ba 0.0000 0.6819 0.1819  3 Li 3.57-3.61, 10 Tl 3.81-3.85
6 Ba 0.0000 0.5000 0.5000  8 Tl 3.64
7 Tl 0.5000 0.9355 0.2311  2 Li 2.99, 1 Tl 3.33
8 Tl 0.5000 0.2689 0.5645  2 Li 2.99, 1 Tl 3.33
9 Tl 0.5000 0.4355 0.2689  2 Li 2.99, 1 Tl 3.33
10 Tl 0.5000 0.5645 0.7311  2 Li 2.99, 1 Tl 3.33
11 Tl 0.5000 0.0645 0.7689  2 Li 2.99, 1 Tl 3.33
12 Tl 0.5000 0.5000 0.0000  4 Li 2.89
13 Tl 0.5000 0.7311 0.4355  2 Li 2.99, 1 Tl 3.33
14 Tl 0.5000 0.7689 0.9355  2 Li 2.99, 1 Tl 3.33
15 Tl 0.5000 0.2311 0.0645  2 Li 2.99, 1 Tl 3.33
16 Tl 0.5000 0.0000 0.5000  4 Li 2.89
17 Li 0.0000 0.1087 0.6087  6 Tl 2.89-2.99
18 Li 0.0000 0.8913 0.3913  6 Tl 2.89-2.99
19 Li 0.0000 0.6087 0.8913  6 Tl 2.89-2.99
20 Li 0.0000 0.3913 0.1087  6 Tl 2.89-2.99

Summary:
The density of states at the Fermi level is 5.59 states/eV/f.u. For the mass density, the calculation gives 7.5 g cm⁻³. The value obtained for the total magnetization is 0.0 μB per cell. Its formation energy from the elements is -0.3460 eV per atom.